# 1
Below is a relaxed RbBa2CaF crystal, with properties calculated at the PBE level.

## Properties
DFT total energy ... -11.1 eV/cell

```
data_RbBa2CaF
_cell_length_a 7.639
_cell_length_b 7.639
_cell_length_c 4.773
_cell_angle_alpha 90.00
_cell_angle_beta 90.00
_cell_angle_gamma 90.00
_space_group_name_H-M_alt 'P 4/m m m'
_space_group_IT_number 123
_space_group_name_Hall '-P 4 2'
loop_
_atom_site_label
_atom_site_fract_x
_atom_site_fract_y
_atom_site_fract_z
_atom_site_occupancy
Rb1 0.000 0.000 0.000 1
Ba1 0.000 0.500 0.000 1
Ca1 0.500 0.500 0.500 1
F1 0.000 0.000 0.500 1
```

***

# 2
Below is a relaxed BaCaRhF2 crystal, with properties calculated at the PBE level.

## Properties
DFT total energy ... -19.6 eV/cell

```
data_BaCaRhF2
_cell_length_a 5.048
_cell_length_b 5.048
_cell_length_c 4.826
_cell_angle_alpha 90.00
_cell_angle_beta 90.00
_cell_angle_gamma 90.00
_space_group_name_H-M_alt 'P 4/m m m'
_space_group_IT_number 123
_space_group_name_Hall '-P 4 2'
loop_
_atom_site_label
_atom_site_fract_x
_atom_site_fract_y
_atom_site_fract_z
_atom_site_occupancy
Ba1 0.000 0.000 0.000 1
Ca1 0.500 0.500 0.000 1
Rh1 0.500 0.500 0.500 1
F1 0.000 0.500 0.500 1
```

***

# 3
Below is a relaxed BaCaSb2F crystal, with properties calculated at the PBE level.

## Properties
DFT total energy ... -19.5 eV/cell

```
data_BaCaSb2F
_cell_length_a 5.595
_cell_length_b 5.595
_cell_length_c 4.882
_cell_angle_alpha 90.00
_cell_angle_beta 90.00
_cell_angle_gamma 90.00
_space_group_name_H-M_alt 'P 4/m m m'
_space_group_IT_number 123
_space_group_name_Hall '-P 4 2'
loop_
_atom_site_label
_atom_site_fract_x
_atom_site_fract_y
_atom_site_fract_z
_atom_site_occupancy
Ba1 0.000 0.000 0.000 1
Ca1 0.500 0.500 0.000 1
Sb1 0.000 0.500 0.500 1
F1 0.000 0.000 0.500 1
```

***

# 4
Below is a relaxed BaSrCaF2 crystal, with properties calculated at the PBE level.

## Properties
DFT total energy ... -17.7 eV/cell

```
data_BaSrCaF2
_cell_length_a 5.101
_cell_length_b 5.101
_cell_length_c 9.517
_cell_angle_alpha 90.00
_cell_angle_beta 90.00
_cell_angle_gamma 90.00
_space_group_name_H-M_alt 'P 4/m m m'
_space_group_IT_number 123
_space_group_name_Hall '-P 4 2'
loop_
_atom_site_label
_atom_site_fract_x
_atom_site_fract_y
_atom_site_fract_z
_atom_site_occupancy
Ba1 0.000 0.000 0.000 1
Sr1 0.000 0.000 0.500 1
Ca1 0.500 0.500 0.500 1
F1 0.000 0.500 0.000 1
```